Record 1
The following is a GGA-PBE calculation of an optimized crystal structure of LaSm6Mg, from the Alexandria database.

a = 5.8403 Å, b = 5.8403 Å, c = 9.1561 Å
α = 102.77°, β = 102.77°, γ = 76.70°
Fractional positions:
La1 0.0000 0.0000 0.0000
Sm1 0.0570 0.5641 0.2079
Sm2 0.1387 0.1387 0.4257
Sm3 0.4359 0.9430 0.7921
Sm4 0.5641 0.0570 0.2079
Sm5 0.8613 0.8613 0.5743
Sm6 0.9430 0.4359 0.7921
Mg1 0.5000 0.5000 0.5000

Computed properties:
excess energy over the best structure of this formula in the dataset	0.308	eV/atom
energy of formation from the pure elements	334	meV per atom
uncorrected energy	-32.17	eV for the cell shown

=====

Record 2
The following is a GGA-PBE calculation of an optimized crystal structure of Li2CaRh, from the Alexandria database.

a = 9.3827 Å, b = 9.3827 Å, c = 9.3827 Å
α = 20.01°, β = 20.01°, γ = 20.01°
Fractional positions:
Li1 0.2287 0.2287 0.2287
Li2 0.7713 0.7713 0.7713
Ca1 0.0000 0.0000 0.0000
Rh1 0.5000 0.5000 0.5000

Computed properties:
excess energy over the best structure of this formula in the dataset	0.487	eV/atom
energy of formation from the pure elements	291	meV per atom
uncorrected energy	-12.02	eV for the cell shown

=====

Record 3
The following is a GGA-PBE calculation of an optimized crystal structure of Tl2CoSi, from the Alexandria database.

a = 5.3740 Å, b = 5.3740 Å, c = 5.3740 Å
α = 133.18°, β = 133.18°, γ = 68.37°
Fractional positions:
Tl1 0.0000 0.0000 0.0000
Tl2 0.7500 0.2500 0.5000
Co1 0.2500 0.7500 0.5000
Si1 0.5000 0.5000 0.0000

Computed properties:
excess energy over the best structure of this formula in the dataset	0.601	eV/atom
uncorrected energy	-14.25	eV for the cell shown
formation energy from raw total energies	0.754	eV/atom

=====

Record 4
The following is a GGA-PBE calculation of an optimized crystal structure of Ho2Tm3PuSe6, from the Alexandria database.

a = 9.0626 Å, b = 9.0626 Å, c = 8.1384 Å
α = 103.16°, β = 103.16°, γ = 25.66°
Fractional positions:
Ho1 0.1634 0.1634 0.3284
Ho2 0.8366 0.8366 0.6716
Tm1 0.1646 0.1646 0.8355
Tm2 0.5000 0.5000 0.5000
Tm3 0.8354 0.8354 0.1645
Pu1 0.5000 0.5000 0.0000
Se1 0.0011 0.0011 0.7431
Se2 0.3297 0.3297 0.9167
Se3 0.3327 0.3327 0.4143
Se4 0.6673 0.6673 0.5857
Se5 0.6703 0.6703 0.0833
Se6 0.9989 0.9989 0.2569

Computed properties:
uncorrected energy	-78.00	eV for the cell shown
formation energy from raw total energies	-1.683	eV/atom

=====

Record 5
The following is a GGA-PBE calculation of an optimized crystal structure of AlIrSe2, from the Alexandria database.

a = 4.6685 Å, b = 4.6685 Å, c = 3.0778 Å
α = 90.00°, β = 90.00°, γ = 90.00°
Fractional positions:
Al1 0.0000 0.0000 0.0000
Ir1 0.5000 0.5000 0.0000
Se1 0.0000 0.5000 0.5000
Se2 0.5000 0.0000 0.5000

Computed properties:
uncorrected energy	-18.58	eV for the cell shown
formation energy from raw total energies	0.249	eV/atom

=====

Record 6
The following is a GGA-PBE calculation of an optimized crystal structure of Cd3Hg4Pb4, from the Alexandria database.

a = 3.4623 Å, b = 8.3599 Å, c = 10.6819 Å
α = 99.36°, β = 90.79°, γ = 101.48°
Fractional positions:
Cd1 0.0000 0.0000 0.0000
Cd2 0.1451 0.2958 0.8324
Cd3 0.8549 0.7042 0.1676
Hg1 0.1406 0.1894 0.5489
Hg2 0.3359 0.6661 0.9264
Hg3 0.6641 0.3339 0.0736
Hg4 0.8594 0.8106 0.4511
Pb1 0.1942 0.4514 0.3494
Pb2 0.4797 0.9374 0.7265
Pb3 0.5203 0.0626 0.2735
Pb4 0.8058 0.5486 0.6506

Computed properties:
energy of formation from the pure elements	31	meV per atom
uncorrected energy	-18.45	eV for the cell shown

=====

Record 7
The following is a GGA-PBE calculation of an optimized crystal structure of YGa2Sn2, from the Alexandria database.

a = 8.1047 Å, b = 8.1047 Å, c = 3.6858 Å
α = 90.00°, β = 90.00°, γ = 90.00°
Fractional positions:
Y1 0.0000 0.0000 0.0000
Y2 0.5000 0.5000 0.0000
Ga1 0.1626 0.3374 0.5000
Ga2 0.3374 0.8374 0.5000
Ga3 0.6626 0.1626 0.5000
Ga4 0.8374 0.6626 0.5000
Sn1 0.1335 0.6335 0.0000
Sn2 0.3665 0.1335 0.0000
Sn3 0.6335 0.8665 0.0000
Sn4 0.8665 0.3665 0.0000

Computed properties:
excess energy over the best structure of this formula in the dataset	0.179	eV/atom
energy of formation from the pure elements	-158	meV per atom
uncorrected energy	-42.63	eV for the cell shown

=====

Record 8
The following is a GGA-PBE calculation of an optimized crystal structure of LaTb6Sm3Er2, from the Alexandria database.

a = 6.2083 Å, b = 6.2083 Å, c = 11.8958 Å
α = 94.98°, β = 94.98°, γ = 119.97°
Fractional positions:
La1 0.0000 0.0000 0.0000
Tb1 0.0838 0.4186 0.2496
Tb2 0.2511 0.2511 0.7504
Tb3 0.4186 0.0838 0.2496
Tb4 0.5814 0.9162 0.7504
Tb5 0.7489 0.7489 0.2496
Tb6 0.9162 0.5814 0.7504
Sm1 0.1671 0.8329 0.5000
Sm2 0.5000 0.5000 0.5000
Sm3 0.8329 0.1671 0.5000
Er1 0.3333 0.6667 0.0000
Er2 0.6667 0.3333 0.0000

Computed properties:
energy of formation from the pure elements	18	meV per atom
uncorrected energy	-55.77	eV for the cell shown